Here is a relaxed structure of KZrIN2 from Alexandria. Energies are from GGA-PBEsol.

Unit cell a=4.596 b=4.596 c=5.766 alpha=90.00 beta=90.00 gamma=90.00
Each line ends with the local moment (μB).
Atoms (fractional coordinates):
N1 0.500 0.000 0.000  1.36
N2 0.000 0.500 0.000  1.36
K1 0.000 0.000 0.000  0.15
I1 0.000 0.000 0.500  0.04
Zr1 0.500 0.500 0.500  -1.31

SG	P4/mmm
DFT total energy	-3.795	eV/atom
energy relative to the elements, uncorrected	2.01	eV per atom

Here is a relaxed structure of ZnCo6Ir from Alexandria. Energies are from GGA-PBEsol.

Unit cell a=6.131 b=6.131 c=10.006 alpha=90.00 beta=90.00 gamma=109.56
Each line ends with the local moment (μB).
Atoms (fractional coordinates):
Co1 0.750 0.250 0.750  1.32
Co2 0.375 0.125 0.625  1.18
Co3 0.000 0.000 0.000  1.21
Co4 0.625 0.875 0.375  1.18
Co5 0.874 0.624 0.124  1.45
Co6 0.376 0.126 0.876  1.45
Co7 0.624 0.874 0.124  1.45
Co8 0.125 0.375 0.375  1.18
Co9 0.250 0.750 0.750  1.32
Co10 0.000 0.000 0.500  1.26
Co11 0.250 0.750 0.250  1.32
Co12 0.126 0.376 0.876  1.45
Co13 0.625 0.875 0.625  1.18
Co14 0.376 0.126 0.124  1.45
Co15 0.875 0.625 0.625  1.18
Co16 0.500 0.500 0.000  1.56
Co17 0.875 0.625 0.375  1.18
Co18 0.125 0.375 0.625  1.18
Co19 0.750 0.250 0.250  1.32
Co20 0.126 0.376 0.124  1.45
Co21 0.375 0.125 0.375  1.18
Co22 0.874 0.624 0.876  1.45
Co23 0.624 0.874 0.876  1.45
Co24 0.500 0.500 0.500  1.39
Ir1 0.000 0.000 0.753  0.33
Ir2 0.000 0.000 0.247  0.33
Ir3 0.251 0.749 0.500  0.36
Ir4 0.749 0.251 0.500  0.36
Zn1 0.249 0.751 0.000  -0.05
Zn2 0.751 0.249 0.000  -0.05
Zn3 0.500 0.500 0.250  -0.05
Zn4 0.500 0.500 0.750  -0.05

SG	Cmmm
E_form	0.046	eV/atom
DFT total energy	-7.182	eV/atom

Here is a relaxed structure of LaAuC2 from Alexandria. Energies are from GGA-PBEsol.

Unit cell a=4.350 b=4.350 c=4.350 alpha=60.00 beta=60.00 gamma=60.00
Atoms (fractional coordinates):
C1 0.750 0.750 0.750
C2 0.250 0.250 0.250
La1 0.000 0.000 0.000
Au1 0.500 0.500 0.500

SG	Fm-3m
E_form	1.232	eV/atom
DFT total energy	-5.907	eV/atom

Here is a relaxed structure of Na2PtF from Alexandria. Energies are from GGA-PBEsol.

Unit cell a=4.690 b=4.690 c=4.690 alpha=60.00 beta=60.00 gamma=60.00
Each line ends with the local moment (μB).
Atoms (fractional coordinates):
Na1 0.750 0.750 0.750  0.00
Na2 0.250 0.250 0.250  0.00
F1 0.000 0.000 0.000  0.14
Pt1 0.500 0.500 0.500  0.74

SG	Fm-3m
DFT total energy	-3.291	eV/atom
energy relative to the elements, uncorrected	-0.37	eV per atom
ΔE to the lowest computed polymorph	354	meV per atom

The highest DFT total energy belongs to which entry?
Na2PtF